The following is a PBE-GGA calculation of a relaxed structure of HoSnPtO6, from the Alexandria database.

Cell lengths 5.3958, 5.3958, 8.9769 Å; angles 90.00, 90.00, 120.00 degrees
Closest atoms and distances in Å follow each position.
Positions (direct):
Ho 0.3333 0.6667 0.2500  6 O 2.23
Ho 0.6667 0.3333 0.7500  6 O 2.23
Sn 0.0000 0.0000 0.0000  6 O 2.12
Sn 0.0000 0.0000 0.5000  6 O 2.12
Pt 0.3333 0.6667 0.7500  6 O 2.03
Pt 0.6667 0.3333 0.2500  6 O 2.03
O 0.0291 0.3495 0.6231  1 Pt 2.03, 1 Sn 2.12, 1 Ho 2.23
O 0.0291 0.6796 0.8769  1 Pt 2.03, 1 Sn 2.12, 1 Ho 2.23
O 0.3204 0.3495 0.8769  1 Pt 2.03, 1 Sn 2.12, 1 Ho 2.23
O 0.3204 0.9709 0.6231  1 Pt 2.03, 1 Sn 2.12, 1 Ho 2.23
O 0.3495 0.0291 0.1231  1 Pt 2.03, 1 Sn 2.12, 1 Ho 2.23
O 0.3495 0.3204 0.3769  1 Pt 2.03, 1 Sn 2.12, 1 Ho 2.23
O 0.6505 0.6796 0.6231  1 Pt 2.03, 1 Sn 2.12, 1 Ho 2.23
O 0.6505 0.9709 0.8769  1 Pt 2.03, 1 Sn 2.12, 1 Ho 2.23
O 0.6796 0.0291 0.3769  1 Pt 2.03, 1 Sn 2.12, 1 Ho 2.23
O 0.6796 0.6505 0.1231  1 Pt 2.03, 1 Sn 2.12, 1 Ho 2.23
O 0.9709 0.3204 0.1231  1 Pt 2.03, 1 Sn 2.12, 1 Ho 2.23
O 0.9709 0.6505 0.3769  1 Pt 2.03, 1 Sn 2.12, 1 Ho 2.23

The volume comes out at 12.575 A^3/atom. The value obtained for the uncorrected formation energy is -1.560 eV/atom.